1.
Density functional theory data (GGA-PBE) for a relaxed Ag4IrCl crystal.

Lattice parameters (Å, degrees): 5.4357 5.4357 5.4357 60.00 60.00 60.00
Last column: nearest neighbours and their distance in Å.
Positions (direct):
Ag  0.8771  0.3743  0.3743  6 Ag 2.70-2.73
Ag  0.3743  0.3743  0.8771  6 Ag 2.70-2.73
Ag  0.3743  0.8771  0.3743  6 Ag 2.70-2.73
Ag  0.3743  0.3743  0.3743  6 Ag 2.70-2.73
Ir  0.0000  0.0000  0.0000  12 Ag 3.19, 4 Cl 3.33
Cl  0.7500  0.7500  0.7500  12 Ag 3.19, 4 Ir 3.33

Output
DOS(E_F)   3.9 states/eV/f.u.
Size of the total moment   0.00 μB per atom
Symmetry   F-43m

2.
Density functional theory data (GGA-PBE) for a relaxed Ag2IrCl crystal.

Lattice parameters (Å, degrees): 4.5218 3.9258 3.9258 90.00 90.00 90.00
Last column: nearest neighbours and their distance in Å.
Positions (direct):
Ir  0.5000  0.0000  0.5000  4 Cl 2.78, 8 Ag 2.99
Ag  0.0000  0.0000  0.0000  4 Ag 2.78, 4 Cl 2.99, 4 Ir 2.99
Ag  0.0000  0.5000  0.5000  4 Ag 2.78, 4 Cl 2.99, 4 Ir 2.99
Cl  0.5000  0.5000  0.0000  4 Ir 2.78, 8 Ag 2.99

Output
Energy above the lowest structure with this stoichiometry   168 kJ/mol of formula units
DOS(E_F)   2.7 states/eV/f.u.
Size of the total moment   0.00 μB per atom
Symmetry   P4/mmm

3.
Density functional theory data (GGA-PBE) for a relaxed Ag2IrCl crystal.

Lattice parameters (Å, degrees): 2.9647 4.7284 4.9185 90.00 90.00 90.00
Last column: nearest neighbours and their distance in Å.
Positions (direct):
Ir  0.0000  0.5000  0.5000  4 Cl 2.79, 4 Ag 2.87, 2 Ir 2.96
Ag  0.0000  0.0000  0.0000  6 Ag 2.79-2.96, 4 Cl 2.87
Ag  0.5000  0.5000  0.0000  6 Ag 2.79-2.96, 4 Ir 2.87
Cl  0.5000  0.0000  0.5000  4 Ir 2.79, 4 Ag 2.87, 2 Cl 2.96

Output
Energy above the lowest structure with this stoichiometry   124 kJ/mol of formula units
DOS(E_F)   2.5 states/eV/f.u.
Size of the total moment   0.00 μB per atom
Symmetry   Pmmm

4.
Density functional theory data (GGA-PBE) for a relaxed AgIr2Cl crystal.

Lattice parameters (Å, degrees): 7.5487 7.5487 7.5487 152.87 152.87 38.75
Last column: nearest neighbours and their distance in Å.
Positions (direct):
Ir  0.0000  0.0000  0.0000  4 Ir 2.50
Ir  0.5000  0.5000  0.0000  4 Ir 2.50
Ag  0.2500  0.7500  0.5000  4 Cl 2.50
Cl  0.7500  0.2500  0.5000  4 Ag 2.50

Output
Energy above the lowest structure with this stoichiometry   225 kJ/mol of formula units
DOS(E_F)   4.3 states/eV/f.u.
Size of the total moment   0.00 μB per atom
Symmetry   I4/mmm

5.
Density functional theory data (GGA-PBE) for a relaxed Ag2IrCl crystal.

Lattice parameters (Å, degrees): 4.7081 4.7081 4.7081 60.00 60.00 60.00
Last column: nearest neighbours and their distance in Å.
Positions (direct):
Ir  0.5000  0.5000  0.5000  8 Ag 2.88
Ag  0.2500  0.2500  0.2500  4 Ir 2.88, 4 Cl 2.88
Ag  0.7500  0.7500  0.7500  4 Ir 2.88, 4 Cl 2.88
Cl  0.0000  0.0000  0.0000  8 Ag 2.88

Output
Energy above the lowest structure with this stoichiometry   209 kJ/mol of formula units
DOS(E_F)   3.4 states/eV/f.u.
Size of the total moment   0.33 μB per atom
Symmetry   Fm-3m

6.
Density functional theory data (GGA-PBE) for a relaxed AgIr2Cl crystal.

Lattice parameters (Å, degrees): 7.1110 3.5435 3.5435 90.00 90.00 90.00
Last column: nearest neighbours and their distance in Å.
Positions (direct):
Ir  0.0000  0.0000  0.0000  4 Ir 2.51
Ir  0.0000  0.5000  0.5000  4 Ir 2.51
Ag  0.5000  0.5000  0.0000  4 Cl 2.51
Cl  0.5000  0.0000  0.5000  4 Ag 2.51

Output
Energy above the lowest structure with this stoichiometry   227 kJ/mol of formula units
DOS(E_F)   5.7 states/eV/f.u.
Size of the total moment   0.00 μB per atom
Symmetry   P4/mmm

What did we get for DFT total energy? Answer: -3.00; -3.35; -3.47; -4.71; -3.25; -4.71 eV per atom, in the order shown.
What did we get for formation energy (no corrections)? Answer: 687; 748; 635; 893; 856; 898 meV/atom, in the order shown.